This record from Alexandria via LeMat-Bulk describes a geometry-optimized InReP2O structure. The functional is GGA-PBE.

Properties
Mass density = 6.38 g cm⁻³
Energy above the most stable polymorph in this dataset = 1502 meV per atom
D(E_F) = 4.47 states/eV/cell
Uncorrected formation energy = 1.341 eV per atom

Cell: 5.0301 5.0301 3.8974 Å, 90.00 90.00 90.00°
Closest atoms and distances in Å follow each position.
Fractional coordinates of all 5 atoms:
In 0.0000 0.0000 0.0000  2 O 1.95
Re 0.5000 0.5000 0.5000  8 P 3.18, 4 O 3.56
P 0.0000 0.5000 0.0000  2 In 2.52
P 0.5000 0.0000 0.0000  2 In 2.52
O 0.0000 0.0000 0.5000  2 In 1.95